Material: Tb2Pr5SmY
Method: DFT, PBE
State: optimized geometry

Structure (CIF):
```
data_Tb2Pr5SmY
_chemical_formula_sum 'Tb4 Pr10 Sm2 Y2'
_symmetry_space_group_name_H-M 'P 1'
_symmetry_Int_Tables_number 1
_cell_length_a 10.753
_cell_length_b 10.753
_cell_length_c 10.771
_cell_angle_alpha 90.00
_cell_angle_beta 90.00
_cell_angle_gamma 149.21
loop_
_symmetry_equiv_pos_as_xyz
'x,y,z'
loop_
_atom_site_label
_atom_site_type_symbol
_atom_site_fract_x
_atom_site_fract_y
_atom_site_fract_z
_atom_site_occupancy
Tb1 Tb 0.112 0.888 0.500 1
Tb2 Tb 0.116 0.884 0.073 1
Tb3 Tb 0.884 0.116 0.573 1
Tb4 Tb 0.888 0.112 0.000 1
Pr1 Pr 0.015 0.985 0.780 1
Pr2 Pr 0.279 0.721 0.074 1
Pr3 Pr 0.295 0.705 0.467 1
Pr4 Pr 0.387 0.613 0.786 1
Pr5 Pr 0.482 0.518 0.507 1
Pr6 Pr 0.518 0.482 0.007 1
Pr7 Pr 0.613 0.387 0.286 1
Pr8 Pr 0.705 0.295 0.967 1
Pr9 Pr 0.721 0.279 0.574 1
Pr10 Pr 0.985 0.015 0.280 1
Sm1 Sm 0.200 0.800 0.772 1
Sm2 Sm 0.800 0.200 0.272 1
Y1 Y 0.407 0.593 0.224 1
Y2 Y 0.593 0.407 0.724 1
```

Results
The value obtained for the formation energy from the elements is 0.142 eV per atom. Its density of states at the Fermi level is 1.600 states/eV per atom. The calculation puts the total magnetization at 0.0 μB/cell.

Material: Tb6PrSmY2
Method: DFT, PBE
State: optimized geometry

Structure (CIF):
```
data_Tb6PrSmY2
_chemical_formula_sum 'Tb12 Pr2 Sm2 Y4'
_symmetry_space_group_name_H-M 'P 1'
_symmetry_Int_Tables_number 1
_cell_length_a 8.857
_cell_length_b 8.857
_cell_length_c 9.487
_cell_angle_alpha 93.10
_cell_angle_beta 93.10
_cell_angle_gamma 116.41
loop_
_symmetry_equiv_pos_as_xyz
'x,y,z'
loop_
_atom_site_label
_atom_site_type_symbol
_atom_site_fract_x
_atom_site_fract_y
_atom_site_fract_z
_atom_site_occupancy
Tb1 Tb 0.015 0.561 0.181 1
Tb2 Tb 0.112 0.759 0.558 1
Tb3 Tb 0.241 0.888 0.942 1
Tb4 Tb 0.294 0.522 0.385 1
Tb5 Tb 0.439 0.985 0.319 1
Tb6 Tb 0.478 0.706 0.115 1
Tb7 Tb 0.522 0.294 0.885 1
Tb8 Tb 0.561 0.015 0.681 1
Tb9 Tb 0.706 0.478 0.615 1
Tb10 Tb 0.759 0.112 0.058 1
Tb11 Tb 0.888 0.241 0.442 1
Tb12 Tb 0.985 0.439 0.819 1
Pr1 Pr 0.408 0.592 0.750 1
Pr2 Pr 0.592 0.408 0.250 1
Sm1 Sm 0.036 0.964 0.250 1
Sm2 Sm 0.964 0.036 0.750 1
Y1 Y 0.199 0.297 0.051 1
Y2 Y 0.297 0.199 0.551 1
Y3 Y 0.703 0.801 0.449 1
Y4 Y 0.801 0.703 0.949 1
```

Results
The value obtained for the formation energy from the elements is 0.125 eV per atom. Its density of states at the Fermi level is 1.493 states/eV per atom. The calculation puts the total magnetization at 0.0 μB/cell.

Material: TbPr2SmY5
Method: DFT, PBE
State: optimized geometry

Structure (CIF):
```
data_TbPr2SmY5
_chemical_formula_sum 'Tb2 Pr4 Sm2 Y10'
_symmetry_space_group_name_H-M 'P 1'
_symmetry_Int_Tables_number 1
_cell_length_a 10.023
_cell_length_b 10.023
_cell_length_c 10.023
_cell_angle_alpha 128.61
_cell_angle_beta 128.61
_cell_angle_gamma 75.63
loop_
_symmetry_equiv_pos_as_xyz
'x,y,z'
loop_
_atom_site_label
_atom_site_type_symbol
_atom_site_fract_x
_atom_site_fract_y
_atom_site_fract_z
_atom_site_occupancy
Tb1 Tb 0.250 0.250 0.000 1
Tb2 Tb 0.750 0.750 0.000 1
Pr1 Pr 0.119 0.619 0.737 1
Pr2 Pr 0.381 0.119 0.500 1
Pr3 Pr 0.619 0.881 0.500 1
Pr4 Pr 0.881 0.381 0.263 1
Sm1 Sm 0.250 0.750 0.500 1
Sm2 Sm 0.750 0.250 0.500 1
Y1 Y 0.000 0.000 0.000 1
Y2 Y 0.070 0.151 0.500 1
Y3 Y 0.151 0.651 0.081 1
Y4 Y 0.349 0.430 0.500 1
Y5 Y 0.430 0.930 0.081 1
Y6 Y 0.500 0.500 0.000 1
Y7 Y 0.570 0.070 0.919 1
Y8 Y 0.651 0.570 0.500 1
Y9 Y 0.849 0.349 0.919 1
Y10 Y 0.930 0.849 0.500 1
```

Results
The value obtained for the formation energy from the elements is 0.245 eV per atom. Its density of states at the Fermi level is 1.189 states/eV per atom. The calculation puts the total magnetization at 0.0 μB/cell.

Material: Tb3PrSm6Y2
Method: DFT, PBE
State: optimized geometry

Structure (CIF):
```
data_Tb3PrSm6Y2
_chemical_formula_sum 'Tb3 Pr1 Sm6 Y2'
_symmetry_space_group_name_H-M 'P 1'
_symmetry_Int_Tables_number 1
_cell_length_a 6.253
_cell_length_b 6.253
_cell_length_c 11.959
_cell_angle_alpha 94.99
_cell_angle_beta 94.99
_cell_angle_gamma 119.97
loop_
_symmetry_equiv_pos_as_xyz
'x,y,z'
loop_
_atom_site_label
_atom_site_type_symbol
_atom_site_fract_x
_atom_site_fract_y
_atom_site_fract_z
_atom_site_occupancy
Tb1 Tb 0.000 0.000 0.000 1
Tb2 Tb 0.333 0.667 0.000 1
Tb3 Tb 0.667 0.333 0.000 1
Pr1 Pr 0.500 0.500 0.500 1
Sm1 Sm 0.082 0.416 0.248 1
Sm2 Sm 0.251 0.251 0.752 1
Sm3 Sm 0.416 0.082 0.248 1
Sm4 Sm 0.584 0.918 0.752 1
Sm5 Sm 0.749 0.749 0.248 1
Sm6 Sm 0.918 0.584 0.752 1
Y1 Y 0.167 0.833 0.500 1
Y2 Y 0.833 0.167 0.500 1
```

Results
The value obtained for the formation energy from the elements is 0.014 eV per atom. Its density of states at the Fermi level is 1.307 states/eV per atom. The calculation puts the total magnetization at 0.0 μB/cell.

Material: Tb6Pr3SmY2
Method: DFT, PBE
State: optimized geometry

Structure (CIF):
```
data_Tb6Pr3SmY2
_chemical_formula_sum 'Tb6 Pr3 Sm1 Y2'
_symmetry_space_group_name_H-M 'P 1'
_symmetry_Int_Tables_number 1
_cell_length_a 6.255
_cell_length_b 6.255
_cell_length_c 11.944
_cell_angle_alpha 95.00
_cell_angle_beta 95.00
_cell_angle_gamma 119.99
loop_
_symmetry_equiv_pos_as_xyz
'x,y,z'
loop_
_atom_site_label
_atom_site_type_symbol
_atom_site_fract_x
_atom_site_fract_y
_atom_site_fract_z
_atom_site_occupancy
Tb1 Tb 0.085 0.418 0.753 1
Tb2 Tb 0.249 0.249 0.247 1
Tb3 Tb 0.418 0.085 0.753 1
Tb4 Tb 0.582 0.915 0.247 1
Tb5 Tb 0.751 0.751 0.753 1
Tb6 Tb 0.915 0.582 0.247 1
Pr1 Pr 0.000 0.000 0.500 1
Pr2 Pr 0.333 0.667 0.500 1
Pr3 Pr 0.667 0.333 0.500 1
Sm1 Sm 0.500 0.500 0.000 1
Y1 Y 0.167 0.833 0.000 1
Y2 Y 0.833 0.167 0.000 1
```

Results
The value obtained for the formation energy from the elements is 0.017 eV per atom. Its density of states at the Fermi level is 1.353 states/eV per atom. The calculation puts the total magnetization at 0.0 μB/cell.

Material: Tb4Pr2SmY2
Method: DFT, PBE
State: optimized geometry

Structure (CIF):
```
data_Tb4Pr2SmY2
_chemical_formula_sum 'Tb4 Pr2 Sm1 Y2'
_symmetry_space_group_name_H-M 'P 1'
_symmetry_Int_Tables_number 1
_cell_length_a 9.613
_cell_length_b 9.613
_cell_length_c 9.661
_cell_angle_alpha 115.23
_cell_angle_beta 115.23
_cell_angle_gamma 21.81
loop_
_symmetry_equiv_pos_as_xyz
'x,y,z'
loop_
_atom_site_label
_atom_site_type_symbol
_atom_site_fract_x
_atom_site_fract_y
_atom_site_fract_z
_atom_site_occupancy
Tb1 Tb 0.019 0.019 0.335 1
Tb2 Tb 0.314 0.314 0.664 1
Tb3 Tb 0.686 0.686 0.336 1
Tb4 Tb 0.981 0.981 0.665 1
Pr1 Pr 0.166 0.166 0.000 1
Pr2 Pr 0.834 0.834 0.000 1
Sm1 Sm 0.500 0.500 0.000 1
Y1 Y 0.353 0.353 0.338 1
Y2 Y 0.647 0.647 0.662 1
```

Results
The value obtained for the formation energy from the elements is -0.003 eV per atom. Its density of states at the Fermi level is 1.372 states/eV per atom. The calculation puts the total magnetization at 0.0 μB/cell.